DFT (PBE-GGA) results for a relaxed YHgB crystal.

The value obtained for the density of states at the Fermi level is 0.874 states/eV per atom. The value obtained for the formation energy is -0.39 eV per atom.

The structure belongs to space group P1 (No. 1); the cell edges are 3.3637, 3.3637 and 11.6466 Å and the angles 93.66°, 94.59° and 119.75°. The asymmetric unit holds Y at (0.0000, 0.0000, 0.0000), Y at (0.1654, 0.1532, 0.3216), Hg at (0.2178, 0.5576, 0.7747), Hg at (0.6171, 0.9262, 0.5471), B at (0.4163, 0.7430, 0.1608) and B at (0.7490, 0.4102, 0.1608).



DFT (PBE-GGA) results for a relaxed YHgB2 crystal.

The value obtained for the density of states at the Fermi level is 0.317 states/eV per atom. The value obtained for the formation energy is 0.66 eV per atom.

The structure belongs to space group I4_1/amd (No. 141, origin choice 2); the cell edges are 4.2397, 4.2397 and 15.3781 Å and the angles 90.00°, 90.00° and 90.00°. The asymmetric unit holds Y at (0.0000, 0.2500, 0.3750), Hg at (0.0000, 0.2500, 0.8750) and B at (0.0000, 0.0000, 0.0000).